Record 1
LiYSbO2: optimized geometry, PBE.

Cell: 4.1953 4.1953 4.4185 Å, 90.00 90.00 90.00°
Element x y z (fractional)
1 Li 0.0000 0.0000 0.0000
2 Y 0.5000 0.5000 0.5000
3 Sb 0.0000 0.0000 0.5000
4 O 0.0000 0.5000 0.0000
5 O 0.5000 0.0000 0.0000

Computed properties:
- Size of the total moment: 0.000 μB/atom
- E_form (uncorrected): -630 meV/atom
- Uncorrected energy: -5.11 eV per atom
- Symmetry: P4/mmm (123)

---

Record 2
Li2YSbO4: optimized geometry, PBE.

Cell: 5.9533 5.9533 5.9533 Å, 135.14 135.14 65.31°
Element x y z (fractional)
1 Li 0.0000 0.0000 0.0000
2 Li 0.7500 0.2500 0.5000
3 Y 0.2500 0.7500 0.5000
4 Sb 0.5000 0.5000 0.0000
5 O 0.0178 0.5178 0.5000
6 O 0.2632 0.2632 0.0000
7 O 0.4822 0.9822 0.5000
8 O 0.7368 0.7368 0.0000

Computed properties:
- Size of the total moment: 0.000 μB/atom
- E_form (uncorrected): -2130 meV/atom
- Uncorrected energy: -6.41 eV per atom
- Symmetry: I-4m2 (119)

---

Record 3
LiY2SbO6: optimized geometry, PBE.

Cell: 5.9197 5.9197 5.9197 Å, 56.31 56.31 56.31°
Element x y z (fractional)
1 Li 0.0000 0.0000 0.0000
2 Y 0.2562 0.2562 0.2562
3 Y 0.7615 0.7615 0.7615
4 Sb 0.4645 0.4645 0.4645
5 O 0.1049 0.6670 0.3553
6 O 0.2060 0.5703 0.8195
7 O 0.3553 0.1049 0.6670
8 O 0.5703 0.8195 0.2060
9 O 0.6670 0.3553 0.1049
10 O 0.8195 0.2060 0.5703

Computed properties:
- Size of the total moment: 0.000 μB/atom
- E_form (uncorrected): -2604 meV/atom
- Uncorrected energy: -7.48 eV per atom
- Symmetry: R3 (146)

---

Record 4
LiYSb2O8: optimized geometry, PBE.

Cell: 5.9316 5.9316 6.7857 Å, 90.00 90.00 120.00°
Element x y z (fractional)
1 Li 0.0000 0.0000 0.0000
2 Y 0.0000 0.0000 0.5000
3 Sb 0.3333 0.6667 0.4696
4 Sb 0.6667 0.3333 0.5304
5 O 0.0556 0.3741 0.6308
6 O 0.3184 0.9444 0.6308
7 O 0.3333 0.6667 0.1797
8 O 0.3741 0.3184 0.3692
9 O 0.6259 0.6816 0.6308
10 O 0.6667 0.3333 0.8203
11 O 0.6816 0.0556 0.3692
12 O 0.9444 0.6259 0.3692

Computed properties:
- Size of the total moment: 0.167 μB/atom
- E_form (uncorrected): -1206 meV/atom
- Uncorrected energy: -5.90 eV per atom
- Symmetry: P-3 (147)

---

Record 5
Li3Zn2SbO6: optimized geometry, PBE.

Cell: 5.2965 5.2965 5.2729 Å, 100.07 100.07 119.61°
Element x y z (fractional)
1 Li 0.0000 0.0000 0.0000
2 Li 0.3301 0.6699 0.0000
3 Li 0.6699 0.3301 0.0000
4 Zn 0.1665 0.8335 0.5000
5 Zn 0.8335 0.1665 0.5000
6 Sb 0.5000 0.5000 0.5000
7 O 0.1082 0.4227 0.2638
8 O 0.2640 0.2640 0.7277
9 O 0.4227 0.1082 0.2638
10 O 0.5773 0.8918 0.7362
11 O 0.7360 0.7360 0.2723
12 O 0.8918 0.5773 0.7362

Computed properties:
- Size of the total moment: 0.000 μB/atom
- E_form (uncorrected): -1697 meV/atom
- Uncorrected energy: -5.21 eV per atom
- Symmetry: C2/m (12)

---

Record 6
Li2ZnSbO4: optimized geometry, PBE.

Cell: 6.2449 6.2449 6.2449 Å, 120.03 117.69 91.99°
Element x y z (fractional)
1 Li 0.0000 0.0000 0.0000
2 Li 0.5000 0.0000 0.0000
3 Li 0.5000 0.0000 0.5000
4 Li 0.5000 0.5000 0.5000
5 Zn 0.0000 0.0000 0.5000
6 Zn 0.0000 0.5000 0.0000
7 Sb 0.0000 0.5000 0.5000
8 Sb 0.5000 0.5000 0.0000
9 O 0.2263 0.7438 0.4825
10 O 0.2388 0.2562 0.9825
11 O 0.2548 0.2696 0.5148
12 O 0.2548 0.7400 0.9852
13 O 0.7452 0.2600 0.0148
14 O 0.7452 0.7304 0.4852
15 O 0.7612 0.7438 0.0175
16 O 0.7737 0.2562 0.5175

Computed properties:
- Size of the total moment: 0.000 μB/atom
- E_form (uncorrected): -1500 meV/atom
- Uncorrected energy: -5.13 eV per atom
- Symmetry: Imma (74)

---

Record 7
Li2ZrSbO: optimized geometry, PBE.

Cell: 4.2109 4.2109 4.3820 Å, 90.00 90.00 90.00°
Element x y z (fractional)
1 Li 0.0000 0.5000 0.0000
2 Li 0.5000 0.0000 0.0000
3 Zr 0.0000 0.0000 0.5000
4 Sb 0.5000 0.5000 0.5000
5 O 0.0000 0.0000 0.0000

Computed properties:
- Size of the total moment: 0.000 μB/atom
- E_form (uncorrected): -1392 meV/atom
- Uncorrected energy: -5.68 eV per atom
- Symmetry: P4/mmm (123)

---

Record 8
Li2ZrSbO6: optimized geometry, PBE.

Cell: 5.6520 5.6520 5.6520 Å, 55.65 55.65 55.65°
Element x y z (fractional)
1 Li 0.0000 0.0000 0.0000
2 Li 0.4917 0.4917 0.4917
3 Zr 0.2753 0.2753 0.2753
4 Sb 0.7819 0.7819 0.7819
5 O 0.0415 0.4083 0.6694
6 O 0.1599 0.8863 0.5588
7 O 0.4083 0.6694 0.0415
8 O 0.5588 0.1599 0.8863
9 O 0.6694 0.0415 0.4083
10 O 0.8863 0.5588 0.1599

Computed properties:
- Size of the total moment: 0.107 μB/atom
- E_form (uncorrected): -2035 meV/atom
- Uncorrected energy: -6.66 eV per atom
- Symmetry: R3 (146)

---

Record 9
LiScO: optimized geometry, PBE.

Cell: 6.0978 5.1950 6.8471 Å, 90.00 103.08 90.00°
Element x y z (fractional)
1 Li 0.1133 0.1790 0.2434
2 Li 0.1133 0.3210 0.7434
3 Li 0.8867 0.6790 0.2566
4 Li 0.8867 0.8210 0.7566
5 Sc 0.3684 0.7102 0.0914
6 Sc 0.3684 0.7898 0.5914
7 Sc 0.6316 0.2102 0.4086
8 Sc 0.6316 0.2898 0.9086
9 O 0.3722 0.5379 0.8157
10 O 0.3722 0.9621 0.3157
11 O 0.6278 0.0379 0.6843
12 O 0.6278 0.4621 0.1843

Computed properties:
- Size of the total moment: 0.000 μB/atom
- E_form (uncorrected): -1843 meV/atom
- Uncorrected energy: -6.24 eV per atom
- Symmetry: P2_1/c (14)

---

Record 10
LiSc2O: optimized geometry, PBE.

Cell: 3.2060 3.2060 8.0241 Å, 101.59 101.59 60.00°
Element x y z (fractional)
1 Li 0.0000 0.0000 0.0000
2 Sc 0.5531 0.5531 0.6589
3 Sc 0.7801 0.7801 0.3414
4 O 0.1668 0.1668 0.5007

Computed properties:
- Size of the total moment: 0.045 μB/atom
- E_form (uncorrected): -1341 meV/atom
- Uncorrected energy: -6.23 eV per atom
- Symmetry: Cm (8)

---

Record 11
Li6ScO4: optimized geometry, PBE.

Cell: 6.8682 6.8682 4.7794 Å, 90.00 90.00 90.00°
Element x y z (fractional)
1 Li 0.0383 0.5383 0.2500
2 Li 0.0383 0.9617 0.2500
3 Li 0.2500 0.2500 0.1506
4 Li 0.2500 0.2500 0.6506
5 Li 0.4617 0.5383 0.2500
6 Li 0.4617 0.9617 0.2500
7 Li 0.5383 0.0383 0.7500
8 Li 0.5383 0.4617 0.7500
9 Li 0.7500 0.7500 0.3494
10 Li 0.7500 0.7500 0.8494
11 Li 0.9617 0.0383 0.7500
12 Li 0.9617 0.4617 0.7500
13 Sc 0.2500 0.7500 0.7500
14 Sc 0.7500 0.2500 0.2500
15 O 0.0237 0.2500 0.4139
16 O 0.2500 0.0237 0.9139
17 O 0.2500 0.4763 0.9139
18 O 0.4763 0.2500 0.4139
19 O 0.5237 0.7500 0.5861
20 O 0.7500 0.5237 0.0861
21 O 0.7500 0.9763 0.0861
22 O 0.9763 0.7500 0.5861

Computed properties:
- Size of the total moment: 0.000 μB/atom
- E_form (uncorrected): -1970 meV/atom
- Uncorrected energy: -5.39 eV per atom
- Symmetry: P4_2/nmc (137)

---

Record 12
LiSc3O: optimized geometry, PBE.

Cell: 4.4578 4.4578 4.4578 Å, 90.00 90.00 90.00°
Element x y z (fractional)
1 Li 0.0000 0.0000 0.0000
2 Sc 0.0000 0.5000 0.5000
3 Sc 0.5000 0.0000 0.5000
4 Sc 0.5000 0.5000 0.0000
5 O 0.5000 0.5000 0.5000

Computed properties:
- Energy above the lowest structure with this stoichiometry: 0.00 kcal/mol of atoms
- Size of the total moment: 0.000 μB/atom
- E_form (uncorrected): -1083 meV/atom
- Uncorrected energy: -6.26 eV per atom
- Symmetry: Pm-3m (221)